# MgMn2F PBE+U optimized geometry
data_MgMn2F
_chemical_formula_sum 'Mg2 Mn4 F2'
_cell_length_a 7.280
_cell_length_b 7.280
_cell_length_c 5.877
_cell_angle_alpha 51.73
_cell_angle_beta 51.73
_cell_angle_gamma 90.00
_space_group_name_H-M_alt 'P 1'
_space_group_IT_number 1
loop_
_space_group_symop_operation_xyz
'x,y,z'
loop_
_atom_site_label
_atom_site_fract_x
_atom_site_fract_y
_atom_site_fract_z
_atom_site_occupancy
F1 0.250 0.750 0.500 1
F2 0.500 0.500 0.000 1
Mn1 0.548 0.125 0.250 1
Mn2 0.202 0.625 0.250 1
Mn3 0.375 0.452 0.750 1
Mn4 0.875 0.798 0.750 1
Mg1 0.000 0.000 0.000 1
Mg2 0.750 0.250 0.500 1
# Total DFT energy (no corrections), eV/atom: -4.940
# Fermi-level density of states, states/eV/cell: 3.46
# Offset from the most stable computed form, meV per atom: 0